La2ZrTaH | GGA-PBE | optimized geometry

POSCAR file:
```
La2ZrTaH
1.0
5.781 0.000 0.000
0.000 5.083 0.000
0.000 0.000 5.781
H La Zr Ta
1 2 1 1
Direct
0.500 0.500 0.500 H
0.000 0.000 0.500 La
0.500 0.000 0.000 La
0.000 0.500 0.000 Zr
0.000 0.000 0.000 Ta
```

Computed properties:
V in Å³/cell: 169.90
Electronic total energy in eV per atom: -5.67
Magnetization in μB/atom: 0.000